# 1
KCr3Pb: relaxed, PBE-GGA.

Structure (extended XYZ):
```
5
Lattice="-1.666 2.995 -4.290 2.415 -3.554 -3.418 -4.641 -2.924 -0.239" Properties=species:S:1:pos:R:3 pbc="T T T"
Pb 0.000 0.000 0.000
Cr 1.207 -1.777 -1.709
Cr -2.320 -1.462 -0.119
Cr -0.833 1.497 -2.145
K -1.946 -1.741 -3.974
```

Output
The energy of formation is 1.21 eV per atom. The total energy is -27.6 eV for the cell shown. The symmetry is Pm-3m, No. 221. As for the offset from the most stable computed form: 0 meV per atom. The calculation puts the spin magnetization at 14.55 Bohr magnetons per cell.


# 2
SrLiIn2Hg4: relaxed, PBE-GGA.

Structure (extended XYZ):
```
8
Lattice="5.140 0.000 0.000 2.570 4.451 0.000 2.570 1.484 8.806" Properties=species:S:1:pos:R:3 pbc="T T T"
Sr 0.000 0.000 0.000
Li 5.140 2.968 4.403
In 7.710 4.451 6.602
In 2.570 1.484 2.203
Hg 5.140 2.968 7.303
Hg 7.710 4.451 3.531
Hg 2.570 1.484 5.275
Hg 5.140 2.968 1.503
```

Output
The energy of formation is -0.30 eV per atom. The total energy is -12.7 eV for the cell shown. The symmetry is R-3m, No. 166. The calculation puts the spin magnetization at 0.00 Bohr magnetons per cell.


# 3
CeUP3: relaxed, PBE-GGA.

Structure (extended XYZ):
```
10
Lattice="-0.807 2.555 3.152 -5.035 -2.765 0.952 4.213 -5.708 5.704" Properties=species:S:1:pos:R:3 pbc="T T T"
Ce -1.310 0.474 3.353
Ce -0.320 -6.392 6.456
U -2.764 -2.350 5.269
U 1.134 -3.568 4.540
P -4.037 -0.625 3.545
P 2.407 -5.293 6.264
P -2.556 -4.500 7.065
P -0.593 -3.422 6.694
P 0.926 -1.418 2.743
P -1.037 -2.496 3.115
```

Output
The energy of formation is -0.94 eV per atom. The total energy is -76.3 eV for the cell shown. The symmetry is Pmmn, No. 59. The calculation puts the spin magnetization at 4.35 Bohr magnetons per cell.


Please write out number 3 again, unchanged.
CeUP3: relaxed, PBE-GGA.

Structure (extended XYZ):
```
10
Lattice="-0.807 2.555 3.152 -5.035 -2.765 0.952 4.213 -5.708 5.704" Properties=species:S:1:pos:R:3 pbc="T T T"
Ce -1.310 0.474 3.353
Ce -0.320 -6.392 6.456
U -2.764 -2.350 5.269
U 1.134 -3.568 4.540
P -4.037 -0.625 3.545
P 2.407 -5.293 6.264
P -2.556 -4.500 7.065
P -0.593 -3.422 6.694
P 0.926 -1.418 2.743
P -1.037 -2.496 3.115
```

Output
The energy of formation is -0.94 eV per atom. The total energy is -76.3 eV for the cell shown. The symmetry is Pmmn, No. 59. The calculation puts the spin magnetization at 4.35 Bohr magnetons per cell.